This record from Alexandria via LeMat-Bulk describes crystalline ZnTe2Br at its relaxed geometry. The functional is GGA-PBE.

Cell lengths 5.495, 5.495, 9.819 Å; angles 73.75, 73.75, 90.00 degrees
Element x y z (fractional)
Te (0.875, 0.752, 0.750)
Te (0.248, 0.625, 0.250)
Te (0.502, 0.125, 0.250)
Te (0.375, 0.498, 0.750)
Zn (0.500, 0.500, 0.000)
Zn (0.250, 0.750, 0.500)
Br (0.000, 0.000, 0.000)
Br (0.750, 0.250, 0.500)

## Properties
Excess energy over the best structure of this formula in the dataset (eV/atom): 0.302
ΔE_f (raw) (eV per atom): 0.071
Magnetization (μB/atom): 0.000
Total DFT energy (no corrections) (eV/cell): -17.89
Space-group type: No. 122